Entry 1:
# RbAlSb2

A geometry-optimized RbAlSb2 structure (GGA-PBE, the Alexandria database).

- E_tot: -0.2431 Ry/atom
- SG: R-3m, No. 166
- Raw formation energy: -0.07 eV/atom
- V: 124 Å³ per cell
- N(E_F): 1.88 states/eV/f.u.

abc: 3.8744 3.8744 9.7656
angles: 78.56 78.56 60.00
Atoms (fractional coordinates):
Sb1 0.2713 0.2713 0.1861
Sb2 0.7287 0.7287 0.8139
Al1 0.0000 0.0000 0.0000
Rb1 0.5000 0.5000 0.5000

***

Entry 2:
# Y2MgZn3Pt4

A geometry-optimized Y2MgZn3Pt4 structure (GGA-PBE, the Alexandria database).

- E_tot: -0.3713 Ry/atom
- SG: P-4m2, No. 115
- V: 188 Å³ per cell
- Formation energy from the elements: -801.3 meV/atom
- N(E_F): 4.08 states/eV/f.u.

abc: 4.0386 4.0386 11.5077
angles: 90.00 90.00 90.00
Atoms (fractional coordinates):
Pt1 0.5000 0.5000 0.0000
Pt2 0.0000 0.0000 0.0000
Pt3 0.0000 0.5000 0.3494
Zn1 0.0000 0.5000 0.1339
Y1 0.0000 0.5000 0.7599
Y2 0.5000 0.0000 0.2401
Mg1 0.5000 0.5000 0.5000
Pt4 0.5000 0.0000 0.6506
Zn2 0.0000 0.0000 0.5000
Zn3 0.5000 0.0000 0.8661